The following is a DFT calculation (PBE) of an optimized crystal structure of CrFe2HRh.

Computed properties:
**Raw total energy**: -7.502 eV/atom
**Symmetry**: P4/mmm
**Crystal system**: tetragonal

Cell: 3.723 3.723 3.796 Å, 90.00 90.00 90.00°
Fractional coordinates of all 5 atoms:
Cr (0.000, 0.000, 0.000)
Fe (0.000, 0.500, 0.500)
Fe (0.500, 0.000, 0.500)
H (0.500, 0.500, 0.500)
Rh (0.500, 0.500, 0.000)